NdSmEuTm after structural relaxation. Source: Alexandria, functional PBE-GGA.

Its density of states at the Fermi level is 6.43 states/eV/f.u. The value obtained for the electronic total energy is -5.921 eV per atom. Its calculated formation energy is 138 meV per atom. The magnetic moment comes out at 1.9323 μB/atom.

The structure belongs to space group F-43m (No. 216); the cell edges are 8.213, 8.213 and 8.213 Å and the angles 90.00°, 90.00° and 90.00°. Symmetry generates all atoms from Nd at (0.000, 0.000, 0.000), Sm at (0.000, 0.000, 0.500), Eu at (0.250, 0.250, 0.750) and Tm at (0.250, 0.250, 0.250).

NdSmEuY after structural relaxation. Source: Alexandria, functional PBE-GGA.

Its density of states at the Fermi level is 7.92 states/eV/f.u. The value obtained for the electronic total energy is -6.407 eV per atom. Its calculated formation energy is 150 meV per atom. The magnetic moment comes out at 2.0013 μB/atom.

The structure belongs to space group F-43m (No. 216); the cell edges are 8.262, 8.262 and 8.262 Å and the angles 90.00°, 90.00° and 90.00°. Symmetry generates all atoms from Nd at (0.000, 0.000, 0.000), Sm at (0.250, 0.250, 0.750), Eu at (0.000, 0.000, 0.500) and Y at (0.250, 0.250, 0.250).

NdSmEuZn after structural relaxation. Source: Alexandria, functional PBE-GGA.

Its density of states at the Fermi level is 3.94 states/eV/f.u. The value obtained for the electronic total energy is -5.207 eV per atom. Its calculated formation energy is 52 meV per atom. The magnetic moment comes out at 1.8110 μB/atom.

The structure belongs to space group F-43m (No. 216); the cell edges are 7.771, 7.771 and 7.771 Å and the angles 90.00°, 90.00° and 90.00°. Symmetry generates all atoms from Nd at (0.000, 0.000, 0.000), Sm at (0.000, 0.000, 0.500), Eu at (0.250, 0.250, 0.250) and Zn at (0.250, 0.250, 0.750).

NdEuSn2 after structural relaxation. Source: Alexandria, functional PBE-GGA.

Its density of states at the Fermi level is 8.70 states/eV/f.u. The value obtained for the electronic total energy is -6.243 eV per atom. Its calculated formation energy is -481 meV per atom. For the energy above the most stable polymorph in this dataset, the calculation gives 73 kJ/mol of formula units. The magnetic moment comes out at 1.7492 μB/atom.

The structure belongs to space group R-3m (No. 166, hexagonal axes); the cell edges are 3.9105, 3.9105 and 28.9412 Å and the angles 90.00°, 90.00° and 120.00°. Symmetry generates all atoms from Nd at (0.0000, 0.0000, 0.0000), Eu at (0.0000, 0.0000, 0.5000) and Sn at (0.0000, 0.0000, 0.2508).

NdEuSn2 after structural relaxation. Source: Alexandria, functional PBE-GGA.

Its density of states at the Fermi level is 1.99 states/eV/f.u. The value obtained for the electronic total energy is -6.414 eV per atom. Its calculated formation energy is -652 meV per atom. For the energy above the most stable polymorph in this dataset, the calculation gives 7 kJ/mol of formula units. The magnetic moment comes out at 1.8186 μB/atom.

The structure belongs to space group P4/mmm (No. 123); the cell edges are 5.064, 5.064 and 4.534 Å and the angles 90.00°, 90.00° and 90.00°. Symmetry generates all atoms from Nd at (0.000, 0.000, 0.000), Eu at (0.500, 0.500, 0.000) and Sn at (0.000, 0.500, 0.500).

NdEu2Sn after structural relaxation. Source: Alexandria, functional PBE-GGA.

Its density of states at the Fermi level is 5.01 states/eV/f.u. The value obtained for the electronic total energy is -7.598 eV per atom. Its calculated formation energy is -268 meV per atom. For the energy above the most stable polymorph in this dataset, the calculation gives 54 kJ/mol of formula units. The magnetic moment comes out at 3.6492 μB/atom.

The structure belongs to space group P4/mmm (No. 123); the cell edges are 4.331, 4.331 and 7.048 Å and the angles 90.00°, 90.00° and 90.00°. Symmetry generates all atoms from Nd at (0.000, 0.000, 0.000), Eu at (0.500, 0.500, 0.274) and Sn at (0.000, 0.000, 0.500).

Q: The lowest electronic total energy belongs to which entry?
A: NdEu2Sn